[1]
Here is crystalline PmSbPt2 at its relaxed geometry from Alexandria. Energies are from PBE-GGA.

```
data_PmSbPt2
_chemical_formula_sum 'Pm4 Sb4 Pt8'
_symmetry_space_group_name_H-M 'C m c m'
_symmetry_Int_Tables_number 63
_symmetry_space_group_name_Hall '-C 2c 2'
_cell_length_a 3.8503
_cell_length_b 11.6794
_cell_length_c 8.7547
_cell_angle_alpha 90.00
_cell_angle_beta 90.00
_cell_angle_gamma 90.00
loop_
_atom_site_label
_atom_site_fract_x
_atom_site_fract_y
_atom_site_fract_z
Pm1 0.0000 0.1416 0.2500
Sb1 0.0000 0.4149 0.2500
Pt1 0.0000 0.2000 0.5863
```

Its total moment is 0.000 μB per atom. The value obtained for the uncorrected formation energy is -0.79 eV per atom. The final energy comes out at -0.222 hartree per atom.

***

[2]
Here is crystalline PmSbPt2 at its relaxed geometry from Alexandria. Energies are from PBE-GGA.

```
data_PmSbPt2
_chemical_formula_sum 'Pm1 Sb1 Pt2'
_symmetry_space_group_name_H-M 'P 4/m m m'
_symmetry_Int_Tables_number 123
_symmetry_space_group_name_Hall '-P 4 2'
_cell_length_a 3.7571
_cell_length_b 3.7571
_cell_length_c 6.0738
_cell_angle_alpha 90.00
_cell_angle_beta 90.00
_cell_angle_gamma 90.00
loop_
_atom_site_label
_atom_site_fract_x
_atom_site_fract_y
_atom_site_fract_z
Pm1 0.0000 0.0000 0.0000
Sb1 0.0000 0.0000 0.5000
Pt1 0.5000 0.5000 0.2584
```

Its total moment is 0.000 μB per atom. The value obtained for the uncorrected formation energy is -0.69 eV per atom. The final energy comes out at -0.218 hartree per atom.

***

[3]
Here is crystalline Pm12SbPt6 at its relaxed geometry from Alexandria. Energies are from PBE-GGA.

```
data_Pm12SbPt6
_chemical_formula_sum 'Pm36 Sb3 Pt18'
_symmetry_space_group_name_H-M 'R -3'
_symmetry_Int_Tables_number 148
_symmetry_space_group_name_Hall '-R 3'
_cell_length_a 13.2831
_cell_length_b 13.2831
_cell_length_c 11.7929
_cell_angle_alpha 90.00
_cell_angle_beta 90.00
_cell_angle_gamma 120.00
loop_
_atom_site_label
_atom_site_fract_x
_atom_site_fract_y
_atom_site_fract_z
Pm1 0.0285 0.8159 0.3907
Pm2 0.0328 0.8112 0.8859
Sb1 0.0000 0.0000 0.0000
Pt1 0.0367 0.7833 0.6445
```

Its total moment is 0.000 μB per atom. The value obtained for the uncorrected formation energy is -0.76 eV per atom. The final energy comes out at -0.216 hartree per atom.